# 1
5
Lattice="6.720 0.000 0.000 0.000 5.099 0.000 0.000 0.000 6.720" Properties=species:S:1:pos:R:3 comment="Ba2VTeBr (GGA-PBE, optimized geometry)" sg=P4/mmm pbc="T T T"
V 0.000 2.549 0.000
Te 0.000 0.000 0.000
Ba 3.360 0.000 0.000
Ba 0.000 0.000 3.360
Br 3.360 2.549 3.360

=====

# 2
16
Lattice="-3.120 8.207 1.037 -5.674 -3.056 7.109 8.670 -1.561 0.748" Properties=species:S:1:pos:R:3 comment="Cs4Ac3BiS8 (GGA-PBE, optimized geometry)" sg=R-3m pbc="T T T"
S 2.083 0.430 2.861
S -2.267 1.134 2.493
S 3.748 -1.768 5.866
S -0.714 -0.965 5.482
S -3.873 5.359 3.027
S 2.142 2.457 6.401
S -2.207 3.161 6.033
S 0.590 4.555 3.412
Cs -1.560 4.103 0.519
Cs 2.775 3.323 0.893
Cs 4.335 -0.780 0.374
Cs 0.000 0.000 0.000
Ac -0.062 1.795 4.447
Ac 1.498 -2.308 3.928
Ac -4.397 2.576 4.073
Bi -2.837 -1.528 3.554

=====

Quick rundown of total energy, same order as above: -3.99; -4.88 eV per atom
Quick rundown of E_form (uncorrected), same order as above: -0.44; -1.59 eV/atom